# NaNd2VO5

An optimized crystal structure of NaNd2VO5 (GGA+U, the Alexandria database).

Cell: 5.710 6.825 6.825 Å, 90.00 90.00 90.00°
Atoms (fractional coordinates):
O (0.241, 0.632, 0.868)
O (0.500, 0.000, 0.000)
O (0.759, 0.868, 0.368)
O (0.759, 0.368, 0.132)
O (0.241, 0.368, 0.132)
O (0.241, 0.868, 0.368)
O (0.759, 0.132, 0.632)
O (0.500, 0.500, 0.500)
O (0.759, 0.632, 0.868)
O (0.241, 0.132, 0.632)
Nd (0.500, 0.322, 0.822)
Nd (0.500, 0.678, 0.178)
Nd (0.500, 0.178, 0.322)
Nd (0.500, 0.822, 0.678)
V (0.000, 0.000, 0.500)
V (0.000, 0.500, 0.000)
Na (0.000, 0.500, 0.500)
Na (0.000, 0.000, 0.000)

Summary:
Magnetization ... 0.02 μB/f.u.
E ... -131.5 eV per cell
Symmetry ... No. 127